A plane-wave DFT calculation with PBE was carried out for La2GaH after structural relaxation.

Computed properties:
space-group type = No. 225
total moment = 0.00 μB per formula unit
total DFT energy (no corrections) = -4.32 eV per atom

Geometry as POSCAR:
```
La2GaH
1.0
0.000 3.629 3.629
3.629 0.000 3.629
3.629 3.629 0.000
La Ga H
2 1 1
Cartesian
1.814 1.814 1.814
5.443 5.443 5.443
0.000 0.000 0.000
3.629 3.629 3.629
```

=====

A plane-wave DFT calculation with PBE was carried out for LaGa2H after structural relaxation.

Computed properties:
space-group type = No. 225
total moment = 0.00 μB per formula unit
total DFT energy (no corrections) = -3.32 eV per atom

Geometry as POSCAR:
```
LaGa2H
1.0
0.000 3.566 3.566
3.566 0.000 3.566
3.566 3.566 0.000
La Ga H
1 2 1
Cartesian
0.000 0.000 0.000
1.783 1.783 1.783
5.349 5.349 5.349
3.566 3.566 3.566
```

=====

A plane-wave DFT calculation with PBE was carried out for La2GaH after structural relaxation.

Computed properties:
space-group type = No. 166
total moment = 0.00 μB per formula unit
total DFT energy (no corrections) = -4.43 eV per atom

Geometry as POSCAR:
```
La2GaH
1.0
1.894 1.094 7.653
-1.894 1.094 7.653
0.000 -2.187 7.653
La Ga H
2 1 1
Cartesian
0.000 0.000 5.363
0.000 0.000 17.597
0.000 0.000 0.000
0.000 0.000 11.480
```

=====

A plane-wave DFT calculation with PBE was carried out for LaGa3H after structural relaxation.

Computed properties:
space-group type = No. 221
total moment = 0.00 μB per formula unit
total DFT energy (no corrections) = -3.66 eV per atom

Geometry as POSCAR:
```
LaGa3H
1.0
4.515 0.000 0.000
0.000 4.515 0.000
0.000 0.000 4.515
La Ga H
1 3 1
Cartesian
0.000 0.000 0.000
0.000 2.258 2.258
2.258 0.000 2.258
2.258 2.258 0.000
2.258 2.258 2.258
```

=====

A plane-wave DFT calculation with PBE was carried out for LaGa3H after structural relaxation.

Computed properties:
space-group type = No. 221
total moment = 0.77 μB per formula unit
total DFT energy (no corrections) = -2.30 eV per atom

Geometry as POSCAR:
```
LaGa3H
1.0
5.903 0.000 0.000
0.000 5.903 0.000
0.000 0.000 5.903
La Ga H
1 3 1
Cartesian
0.000 0.000 0.000
0.000 0.000 2.951
0.000 2.951 0.000
2.951 0.000 0.000
2.951 2.951 2.951
```

=====

A plane-wave DFT calculation with PBE was carried out for La2GaH after structural relaxation.

Computed properties:
space-group type = No. 123
total moment = 0.00 μB per formula unit
total DFT energy (no corrections) = -4.36 eV per atom

Geometry as POSCAR:
```
La2GaH
1.0
3.446 0.000 0.000
0.000 3.446 0.000
0.000 0.000 7.484
La Ga H
2 1 1
Cartesian
0.000 0.000 1.725
0.000 0.000 5.759
1.723 1.723 3.742
1.723 1.723 0.000
```

=====

A plane-wave DFT calculation with PBE was carried out for La2GaH2 after structural relaxation.

Computed properties:
space-group type = No. 127
total moment = 0.00 μB per formula unit
total DFT energy (no corrections) = -4.25 eV per atom

Geometry as POSCAR:
```
La2GaH2
1.0
7.509 0.000 0.000
0.000 7.509 0.000
0.000 0.000 3.186
La Ga H
4 2 4
Cartesian
1.305 2.449 0.000
2.449 6.204 0.000
5.060 1.305 0.000
6.204 5.060 0.000
0.000 0.000 1.593
3.755 3.755 1.593
0.858 4.613 1.593
2.897 0.858 1.593
4.613 6.651 1.593
6.651 2.897 1.593
```

=====

A plane-wave DFT calculation with PBE was carried out for La2GaH2 after structural relaxation.

Computed properties:
space-group type = No. 139
total moment = 0.00 μB per formula unit
total DFT energy (no corrections) = -4.53 eV per atom

Geometry as POSCAR:
```
La2GaH2
1.0
-1.974 1.974 6.332
1.974 -1.974 6.332
1.974 1.974 -6.332
La Ga H
2 1 2
Cartesian
0.000 0.000 1.804
0.000 0.000 10.861
0.000 0.000 6.332
1.974 0.000 3.166
0.000 1.974 3.166
```

=====

A plane-wave DFT calculation with PBE was carried out for LaGa2H6 after structural relaxation.

Computed properties:
space-group type = No. 225
total moment = 1.12 μB per formula unit
total DFT energy (no corrections) = -2.85 eV per atom

Geometry as POSCAR:
```
LaGa2H6
1.0
0.000 3.781 3.781
3.781 0.000 3.781
3.781 3.781 0.000
La Ga H
1 2 6
Cartesian
0.000 0.000 0.000
1.890 1.890 1.890
5.671 5.671 5.671
3.781 3.781 2.274
3.781 2.274 3.781
5.287 3.781 3.781
2.274 3.781 3.781
3.781 5.287 3.781
3.781 3.781 5.287
```

=====

A plane-wave DFT calculation with PBE was carried out for La2GaH after structural relaxation.

Computed properties:
space-group type = No. 122
total moment = 0.00 μB per formula unit
total DFT energy (no corrections) = -4.13 eV per atom

Geometry as POSCAR:
```
La2GaH
1.0
-3.014 3.014 7.078
3.014 -3.014 7.078
3.014 3.014 -7.078
La Ga H
4 2 2
Cartesian
4.521 1.173 -1.769
1.173 1.507 1.769
-1.507 1.840 5.308
1.840 1.507 8.847
3.014 0.000 3.539
0.000 0.000 7.078
0.000 0.000 0.000
0.000 3.014 3.539
```

=====

A plane-wave DFT calculation with PBE was carried out for LaGa2H after structural relaxation.

Computed properties:
space-group type = No. 122
total moment = 0.00 μB per formula unit
total DFT energy (no corrections) = -3.64 eV per atom

Geometry as POSCAR:
```
LaGa2H
1.0
-3.016 3.016 4.240
3.016 -3.016 4.240
3.016 3.016 -4.240
La Ga H
2 4 2
Cartesian
0.000 0.000 0.000
0.000 3.016 2.120
1.508 2.807 -1.060
3.225 1.508 1.060
1.508 0.209 3.180
-0.209 1.508 5.300
3.016 0.000 2.120
0.000 0.000 4.240
```

=====

A plane-wave DFT calculation with PBE was carried out for La2GaH2 after structural relaxation.

Computed properties:
space-group type = No. 123
total moment = 0.00 μB per formula unit
total DFT energy (no corrections) = -4.39 eV per atom

Geometry as POSCAR:
```
La2GaH2
1.0
3.683 0.000 0.000
0.000 3.683 0.000
0.000 0.000 7.259
La Ga H
2 1 2
Cartesian
0.000 0.000 1.684
0.000 0.000 5.575
1.842 1.842 3.629
0.000 1.842 0.000
1.842 0.000 0.000
```